# GGA-PBE Te5Pd4S, relaxed
data_Te5Pd4S
_chemical_formula_sum 'Te10 Pd8 S2'
_symmetry_space_group_name_H-M 'C 1 2/m 1'
_symmetry_Int_Tables_number 12
_cell_length_a 16.9807
_cell_length_b 4.0160
_cell_length_c 7.1329
_cell_angle_alpha 90.00
_cell_angle_beta 103.53
_cell_angle_gamma 90.00
loop_
_symmetry_equiv_pos_as_xyz
'x,y,z'
'-x,-y,-z'
'-x,y,-z'
'x,-y,z'
'x+1/2,y+1/2,z'
'-x+1/2,-y+1/2,-z'
'-x+1/2,y+1/2,-z'
'x+1/2,-y+1/2,z'
loop_
_atom_site_label
_atom_site_type_symbol
_atom_site_fract_x
_atom_site_fract_y
_atom_site_fract_z
_atom_site_occupancy
Te1 Te 0.0000 0.0000 0.0000 1
Te2 Te 0.1642 0.5000 0.3468 1
Te3 Te 0.1637 0.5000 0.8438 1
Pd1 Pd 0.0027 0.5000 0.7356 1
Pd2 Pd 0.1644 0.0000 0.5963 1
S1 S 0.0000 0.0000 0.5000 1
# * E_tot: -4.26 eV/atom
# * density of states at the Fermi level: 10.18 states/eV/cell
# * ΔE_f (raw): -0.2040 eV per atom

# GGA-PBE BaNa2Ge6, relaxed
data_BaNa2Ge6
_chemical_formula_sum 'Ba1 Na2 Ge6'
_symmetry_space_group_name_H-M 'P 6/m m m'
_symmetry_Int_Tables_number 191
_symmetry_space_group_name_Hall '-P 6 2'
_cell_length_a 7.6752
_cell_length_b 7.6752
_cell_length_c 4.7364
_cell_angle_alpha 90.00
_cell_angle_beta 90.00
_cell_angle_gamma 120.00
loop_
_atom_site_label
_atom_site_type_symbol
_atom_site_fract_x
_atom_site_fract_y
_atom_site_fract_z
_atom_site_occupancy
Ba1 Ba 0.0000 0.0000 0.0000 1
Na1 Na 0.3333 0.6667 0.0000 1
Ge1 Ge 0.0000 0.3355 0.5000 1
# * distance to the lowest polymorph of the same formula: 0.355 eV/f.u.
# * E_tot: -3.68 eV/atom
# * density of states at the Fermi level: 7.24 states/eV/cell
# * ΔH_f (0 K): -86 kJ/mol of formula units

# GGA-PBE Pm2PuScS4, relaxed
data_Pm2PuScS4
_chemical_formula_sum 'Pm2 Pu1 Sc1 S4'
_symmetry_space_group_name_H-M 'P 1 2/m 1'
_symmetry_Int_Tables_number 10
_cell_length_a 6.7961
_cell_length_b 3.9096
_cell_length_c 6.8423
_cell_angle_alpha 90.00
_cell_angle_beta 109.08
_cell_angle_gamma 90.00
loop_
_symmetry_equiv_pos_as_xyz
'x,y,z'
'-x,-y,-z'
'-x,y,-z'
'x,-y,z'
loop_
_atom_site_label
_atom_site_type_symbol
_atom_site_fract_x
_atom_site_fract_y
_atom_site_fract_z
_atom_site_occupancy
Pm1 Pm 0.0000 0.0000 0.0000 1
Pm2 Pm 0.5000 0.5000 0.0000 1
Pu1 Pu 0.0000 0.5000 0.5000 1
Sc1 Sc 0.5000 0.0000 0.5000 1
S1 S 0.2533 0.0000 0.7359 1
S2 S 0.2650 0.5000 0.2700 1
# * E_tot: -7.75 eV/atom
# * density of states at the Fermi level: 8.22 states/eV/cell
# * ΔE_f (raw): -1.9190 eV per atom

# GGA-PBE DyHo2Au3, relaxed
data_DyHo2Au3
_chemical_formula_sum 'Dy1 Ho2 Au3'
_symmetry_space_group_name_H-M 'P 4/m m m'
_symmetry_Int_Tables_number 123
_symmetry_space_group_name_Hall '-P 4 2'
_cell_length_a 3.5695
_cell_length_b 3.5695
_cell_length_c 10.8697
_cell_angle_alpha 90.00
_cell_angle_beta 90.00
_cell_angle_gamma 90.00
loop_
_atom_site_label
_atom_site_type_symbol
_atom_site_fract_x
_atom_site_fract_y
_atom_site_fract_z
_atom_site_occupancy
Dy1 Dy 0.0000 0.0000 0.0000 1
Ho1 Ho 0.0000 0.0000 0.3339 1
Au1 Au 0.5000 0.5000 0.1684 1
Au2 Au 0.5000 0.5000 0.5000 1
# * E_tot: -4.80 eV/atom
# * density of states at the Fermi level: 2.04 states/eV/cell
# * ΔH_f (0 K): -505 kJ/mol of formula units